No. 1
Crystalline TlSiPb2 at its relaxed geometry, computed with PBE. Values from VASP.

Output
energy relative to the elements, uncorrected	0.3993	eV/atom
DFT total energy	-3.40	eV per atom
D(E_F)	2.6	states/eV/cell
size of the total moment	0.00	μB/f.u.
calculated volume	36.5	Å³/atom

Geometry as Quantum ESPRESSO input:
```
&SYSTEM
  ibrav = 0, nat = 8, ntyp = 3
/
ATOMIC_SPECIES
Pb 207.20 Pb.upf
Tl 204.38 Tl.upf
Si 28.09 Si.upf
CELL_PARAMETERS angstrom
-4.663 2.071 4.480
-4.857 -0.826 -4.673
-5.580 -5.355 1.813
ATOMIC_POSITIONS crystal
Pb 0.375 0.415 0.750
Pb 0.585 0.125 0.250
Pb 0.875 0.835 0.750
Pb 0.165 0.625 0.250
Tl 0.000 0.000 0.000
Tl 0.750 0.250 0.500
Si 0.250 0.750 0.500
Si 0.500 0.500 0.000
```


No. 2
Crystalline Sr2HgRu at its relaxed geometry, computed with PBE. Values from VASP.

Output
formation enthalpy at 0 K	0.10	eV per atom
DFT total energy	-3.13	eV per atom
D(E_F)	4.2	states/eV/cell
size of the total moment	0.00	μB/f.u.
calculated volume	27.5	Å³/atom

Geometry as Quantum ESPRESSO input:
```
&SYSTEM
  ibrav = 0, nat = 4, ntyp = 3
/
ATOMIC_SPECIES
Sr 87.62 Sr.upf
Hg 200.59 Hg.upf
Ru 101.07 Ru.upf
CELL_PARAMETERS angstrom
-1.278 -1.171 -3.276
-1.229 -3.083 1.582
-8.307 0.489 3.066
ATOMIC_POSITIONS crystal
Sr 0.000 0.032 0.967
Sr 0.000 0.468 0.533
Hg 0.500 0.250 0.250
Ru 0.500 0.750 0.750
```


No. 3
Crystalline RbAs2RhBr at its relaxed geometry, computed with PBE. Values from VASP.

Output
energy relative to the elements, uncorrected	-0.2668	eV/atom
DFT total energy	-4.12	eV per atom
D(E_F)	3.2	states/eV/cell
size of the total moment	0.37	μB/f.u.
calculated volume	37.1	Å³/atom

Geometry as Quantum ESPRESSO input:
```
&SYSTEM
  ibrav = 0, nat = 5, ntyp = 4
/
ATOMIC_SPECIES
As 74.92 As.upf
Br 79.90 Br.upf
Rh 102.91 Rh.upf
Rb 85.47 Rb.upf
CELL_PARAMETERS angstrom
-1.778 1.260 -4.129
3.465 -2.248 -2.178
-4.700 -7.103 -0.144
ATOMIC_POSITIONS crystal
As 0.500 0.000 0.000
As 0.000 0.500 0.000
Br 0.000 0.000 0.500
Rh 0.000 0.000 0.000
Rb 0.500 0.500 0.500
```


No. 4
Crystalline Pr3As2Pd5 at its relaxed geometry, computed with PBE. Values from VASP.

Output
formation enthalpy at 0 K	-0.73	eV per atom
DFT total energy	-5.69	eV per atom
D(E_F)	8.5	states/eV/cell
size of the total moment	0.00	μB/f.u.
calculated volume	22.0	Å³/atom

Geometry as Quantum ESPRESSO input:
```
&SYSTEM
  ibrav = 0, nat = 20, ntyp = 3
/
ATOMIC_SPECIES
Pd 106.42 Pd.upf
Pr 140.91 Pr.upf
As 74.92 As.upf
CELL_PARAMETERS angstrom
-5.096 -2.053 -2.533
1.705 -2.715 -8.454
-0.868 -8.840 1.689
ATOMIC_POSITIONS crystal
Pd 0.503 0.247 0.247
Pd 0.867 0.488 0.777
Pd 0.633 0.223 0.512
Pd 0.250 0.500 0.500
Pd 0.997 0.753 0.753
Pd 0.497 0.753 0.753
Pd 0.003 0.247 0.247
Pd 0.750 0.500 0.500
Pd 0.133 0.512 0.223
Pd 0.367 0.777 0.488
Pr 0.750 0.000 0.000
Pr 0.250 0.000 0.000
Pr 0.383 0.418 0.817
Pr 0.883 0.817 0.418
Pr 0.117 0.183 0.582
Pr 0.617 0.582 0.183
As 0.862 0.293 0.982
As 0.638 0.018 0.707
As 0.362 0.982 0.293
As 0.138 0.707 0.018
```


Which of these has the lowest DFT total energy? Pr3As2Pd5


Which of these has the highest size of the total moment? RbAs2RhBr